A PBEsol-optimized structure of MgWSe. Source: Alexandria via LeMat-Bulk, functional SCAN.

Properties
The magnetic moment is 0.00 μB/f.u. As for the raw formation energy: 0.150 eV/atom.

abc: 3.167 3.167 10.493
angles: 90.00 90.00 90.00
Space group I4mm (No. 107)
Asymmetric unit:
1 Mg 0.000 0.000 0.000 x2
2 W 0.000 0.000 0.316 x2
3 Se 0.000 0.000 0.700 x2

A PBEsol-optimized structure of MgWSe2. Source: Alexandria via LeMat-Bulk, functional SCAN.

Properties
The magnetic moment is 0.86 μB/f.u. As for the raw formation energy: 0.319 eV/atom.

abc: 3.323 5.824 7.868
angles: 90.00 90.00 90.00
Space group Cmmm (No. 65)
Asymmetric unit:
1 Mg 0.000 0.000 0.000 x2
2 W 0.000 0.000 0.500 x2
3 Se 0.000 0.500 0.259 x4

A PBEsol-optimized structure of MgW2Se. Source: Alexandria via LeMat-Bulk, functional SCAN.

Properties
The magnetic moment is 0.00 μB/f.u. As for the raw formation energy: 0.602 eV/atom. Its energy above the most stable polymorph in this dataset is 9 meV/atom.

abc: 9.111 3.023 5.131
angles: 90.00 107.49 90.00
Space group Cm (No. 8)
Asymmetric unit:
1 Mg 0.000 0.000 0.000 x2
2 W 0.053 0.500 0.509 x2
3 W 0.279 0.500 0.296 x2
4 Se 0.251 0.000 0.861 x2

A PBEsol-optimized structure of Y2MgSe. Source: Alexandria via LeMat-Bulk, functional SCAN.

Properties
The magnetic moment is 0.00 μB/f.u. As for the raw formation energy: -0.708 eV/atom. Its energy above the most stable polymorph in this dataset is 271 meV/atom.

abc: 3.553 4.952 11.267
angles: 90.00 90.00 90.00
Space group Imm2 (No. 44)
Asymmetric unit:
1 Y 0.000 0.000 0.000 x2
2 Y 0.000 0.500 0.223 x2
3 Mg 0.000 0.500 0.805 x2
4 Se 0.000 0.000 0.518 x2

A PBEsol-optimized structure of Y2MgSe4. Source: Alexandria via LeMat-Bulk, functional SCAN.

Properties
The magnetic moment is 0.00 μB/f.u. As for the raw formation energy: -1.967 eV/atom. Its energy above the most stable polymorph in this dataset is 0 meV/atom.

abc: 11.541 11.541 11.541
angles: 90.00 90.00 90.00
Space group Fd-3m (No. 227, origin choice 2)
Asymmetric unit:
1 Y 0.000 0.000 0.000 x16
2 Mg 0.125 0.125 0.625 x8
3 Se 0.005 0.005 0.245 x32

A PBEsol-optimized structure of YMgSe2. Source: Alexandria via LeMat-Bulk, functional SCAN.

Properties
The magnetic moment is 0.00 μB/f.u. As for the raw formation energy: -1.262 eV/atom.

abc: 3.902 3.902 11.850
angles: 90.00 90.00 90.00
Space group I-4m2 (No. 119)
Asymmetric unit:
1 Y 0.000 0.000 0.000 x2
2 Mg 0.000 0.500 0.250 x2
3 Se 0.000 0.000 0.500 x2
4 Se 0.000 0.500 0.750 x2

A PBEsol-optimized structure of YMgSe2. Source: Alexandria via LeMat-Bulk, functional SCAN.

Properties
The magnetic moment is 0.00 μB/f.u. As for the raw formation energy: -1.618 eV/atom.

abc: 3.970 3.970 5.683
angles: 90.00 90.00 90.00
Space group P4/mmm (No. 123)
Asymmetric unit:
1 Y 0.000 0.000 0.000 x1
2 Mg 0.500 0.500 0.500 x1
3 Se 0.000 0.000 0.500 x1
4 Se 0.500 0.500 0.000 x1

A PBEsol-optimized structure of Y2MgSe. Source: Alexandria via LeMat-Bulk, functional SCAN.

Properties
The magnetic moment is 1.27 μB/f.u. As for the raw formation energy: -0.604 eV/atom. Its energy above the most stable polymorph in this dataset is 374 meV/atom.

abc: 8.100 8.100 6.501
angles: 90.00 90.00 90.00
Space group I-42d (No. 122)
Asymmetric unit:
1 Y 0.210 0.250 0.125 x8
2 Mg 0.000 0.000 0.500 x4
3 Se 0.000 0.000 0.000 x4

What did the first record say?
A PBEsol-optimized structure of MgWSe. Source: Alexandria via LeMat-Bulk, functional SCAN.

Properties
The magnetic moment is 0.00 μB/f.u. As for the raw formation energy: 0.150 eV/atom.

abc: 3.167 3.167 10.493
angles: 90.00 90.00 90.00
Space group I4mm (No. 107)
Asymmetric unit:
1 Mg 0.000 0.000 0.000 x2
2 W 0.000 0.000 0.316 x2
3 Se 0.000 0.000 0.700 x2

The highest raw formation energy belongs to which entry?
MgW2Se